--- w ---
# MoIr3Os

MoIr3Os after structural relaxation (PBE, Alexandria via LeMat-Bulk).

Lattice parameters (Å, degrees): 4.648 4.648 4.648 90.00 90.00 90.00
Atoms (fractional coordinates):
Mo 0.000 0.000 0.000
Ir 0.000 0.000 0.500
Ir 0.000 0.500 0.000
Ir 0.500 0.000 0.000
Os 0.500 0.500 0.500

Results
N(E_F) (states/eV/f.u.): 5.66
Space group: Pm-3m, No. 221

--- x ---
# MoIr3Os

MoIr3Os after structural relaxation (PBE, Alexandria via LeMat-Bulk).

Lattice parameters (Å, degrees): 4.071 6.227 6.247 90.00 90.00 90.00
Atoms (fractional coordinates):
Mo 0.250 0.250 0.181
Mo 0.750 0.750 0.819
Ir 0.250 0.045 0.754
Ir 0.250 0.455 0.754
Ir 0.250 0.750 0.467
Ir 0.750 0.250 0.533
Ir 0.750 0.545 0.246
Ir 0.750 0.955 0.246
Os 0.250 0.750 0.064
Os 0.750 0.250 0.936

Results
N(E_F) (states/eV/f.u.): 3.02
Space group: Pmmn, No. 59

Verdict on stability: w comes out at the bottom.

--- w ---
# Mo2Ir2Os

Mo2Ir2Os after structural relaxation (PBE, Alexandria via LeMat-Bulk).

Lattice parameters (Å, degrees): 7.454 7.454 2.807 90.00 90.00 90.00
Atoms (fractional coordinates):
Mo 0.172 0.328 0.000
Mo 0.328 0.828 0.000
Mo 0.672 0.172 0.000
Mo 0.828 0.672 0.000
Ir 0.126 0.626 0.500
Ir 0.374 0.126 0.500
Ir 0.626 0.874 0.500
Ir 0.874 0.374 0.500
Os 0.000 0.000 0.500
Os 0.500 0.500 0.500

Results
N(E_F) (states/eV/f.u.): 4.63
Space group: P4/mbm, No. 127

--- x ---
# Mo2Ir2Os

Mo2Ir2Os after structural relaxation (PBE, Alexandria via LeMat-Bulk).

Lattice parameters (Å, degrees): 4.782 4.782 6.155 129.78 129.78 48.19
Atoms (fractional coordinates):
Mo 0.092 0.092 0.296
Mo 0.908 0.908 0.704
Ir 0.300 0.300 0.901
Ir 0.700 0.700 0.099
Os 0.500 0.500 0.500

Results
N(E_F) (states/eV/f.u.): 4.67
Space group: C2/m, No. 12

Verdict on stability: w comes out at the bottom.

--- w ---
# Mo2IrOs2

Mo2IrOs2 after structural relaxation (PBE, Alexandria via LeMat-Bulk).

Lattice parameters (Å, degrees): 3.902 4.777 4.812 80.38 66.20 65.90
Atoms (fractional coordinates):
Mo 0.091 0.205 0.112
Mo 0.909 0.795 0.888
Ir 0.500 0.000 0.500
Os 0.300 0.593 0.305
Os 0.700 0.407 0.695

Results
N(E_F) (states/eV/f.u.): 4.45
Space group: P-1, No. 2

--- x ---
# Mo2IrOs2

Mo2IrOs2 after structural relaxation (PBE, Alexandria via LeMat-Bulk).

Lattice parameters (Å, degrees): 7.337 7.337 2.905 90.00 90.00 90.00
Atoms (fractional coordinates):
Mo 0.169 0.331 0.000
Mo 0.331 0.831 0.000
Mo 0.669 0.169 0.000
Mo 0.831 0.669 0.000
Ir 0.000 0.000 0.500
Ir 0.500 0.500 0.500
Os 0.131 0.631 0.500
Os 0.369 0.131 0.500
Os 0.631 0.869 0.500
Os 0.869 0.369 0.500

Results
N(E_F) (states/eV/f.u.): 3.59
Space group: P4/mbm, No. 127

Verdict on stability: x comes out at the bottom.